No. 1
{"formula": "AcCdIr2", "functional": "GGA-PBE", "state": "optimized geometry", "vol_a3_per_cell": 83.2, "m_tot_mub_per_atom": 0.000, "ef_mev_per_atom": -71.1, "cell": [[4.569, 0.000, 0.000], [0.000, 4.569, 0.000], [0.000, 0.000, 3.987]], "species": ["Ac", "Cd", "Ir", "Ir"], "fractional_positions": [[0.000, 0.000, 0.000], [0.500, 0.500, 0.000], [0.000, 0.500, 0.500], [0.500, 0.000, 0.500]]}

=====

No. 2
{"formula": "Ca3In5F12", "functional": "GGA-PBE", "state": "optimized geometry", "vol_a3_per_cell": 1464.1, "m_tot_mub_per_atom": 0.000, "dft_energy_ev_per_cell": -369.84, "cell": [[-7.153, 7.153, 7.153], [7.153, -7.153, 7.153], [7.153, 7.153, -7.153]], "species": ["Ca", "Ca", "Ca", "Ca", "Ca", "Ca", "Ca", "Ca", "Ca", "Ca", "Ca", "Ca", "In", "In", "In", "In", "In", "In", "In", "In", "In", "In", "In", "In", "In", "In", "In", "In", "In", "In", "In", "In", "F", "F", "F", "F", "F", "F", "F", "F", "F", "F", "F", "F", "F", "F", "F", "F", "F", "F", "F", "F", "F", "F", "F", "F", "F", "F", "F", "F", "F", "F", "F", "F", "F", "F", "F", "F", "F", "F", "F", "F", "F", "F", "F", "F", "F", "F", "F", "F"], "fractional_positions": [[0.125, 0.250, 0.375], [0.125, 0.375, 0.750], [0.250, 0.375, 0.125], [0.250, 0.875, 0.625], [0.375, 0.125, 0.250], [0.375, 0.750, 0.125], [0.625, 0.250, 0.875], [0.625, 0.875, 0.750], [0.750, 0.125, 0.375], [0.750, 0.625, 0.875], [0.875, 0.625, 0.250], [0.875, 0.750, 0.625], [0.000, 0.000, 0.000], [0.000, 0.000, 0.500], [0.000, 0.500, 0.000], [0.000, 0.500, 0.500], [0.125, 0.750, 0.875], [0.125, 0.875, 0.250], [0.250, 0.125, 0.875], [0.250, 0.625, 0.375], [0.375, 0.250, 0.625], [0.375, 0.625, 0.750], [0.500, 0.000, 0.000], [0.500, 0.000, 0.500], [0.500, 0.500, 0.000], [0.500, 0.500, 0.500], [0.625, 0.375, 0.250], [0.625, 0.750, 0.375], [0.750, 0.375, 0.625], [0.750, 0.875, 0.125], [0.875, 0.125, 0.750], [0.875, 0.250, 0.125], [0.062, 0.632, 0.394], [0.062, 0.930, 0.668], [0.070, 0.238, 0.132], [0.070, 0.332, 0.938], [0.106, 0.738, 0.668], [0.106, 0.868, 0.438], [0.132, 0.070, 0.238], [0.132, 0.562, 0.894], [0.168, 0.238, 0.606], [0.168, 0.430, 0.562], [0.238, 0.132, 0.070], [0.238, 0.606, 0.168], [0.262, 0.332, 0.894], [0.262, 0.430, 0.368], [0.332, 0.894, 0.262], [0.332, 0.938, 0.070], [0.368, 0.262, 0.430], [0.368, 0.606, 0.938], [0.394, 0.062, 0.632], [0.394, 0.832, 0.762], [0.430, 0.368, 0.262], [0.430, 0.562, 0.168], [0.438, 0.106, 0.868], [0.438, 0.832, 0.570], [0.562, 0.168, 0.430], [0.562, 0.894, 0.132], [0.570, 0.438, 0.832], [0.570, 0.632, 0.738], [0.606, 0.168, 0.238], [0.606, 0.938, 0.368], [0.632, 0.394, 0.062], [0.632, 0.738, 0.570], [0.668, 0.062, 0.930], [0.668, 0.106, 0.738], [0.738, 0.570, 0.632], [0.738, 0.668, 0.106], [0.762, 0.394, 0.832], [0.762, 0.868, 0.930], [0.832, 0.570, 0.438], [0.832, 0.762, 0.394], [0.868, 0.438, 0.106], [0.868, 0.930, 0.762], [0.894, 0.132, 0.562], [0.894, 0.262, 0.332], [0.930, 0.668, 0.062], [0.930, 0.762, 0.868], [0.938, 0.070, 0.332], [0.938, 0.368, 0.606]]}

=====

No. 3
{"formula": "TcH2Ru", "functional": "GGA-PBE", "state": "optimized geometry", "vol_a3_per_cell": 33.7, "m_tot_mub_per_atom": 0.000, "dft_energy_ev_per_cell": -25.54, "cell": [[1.403, 0.810, 4.939], [-1.403, 0.810, 4.939], [0.000, -1.620, 4.939]], "species": ["Tc", "H", "H", "Ru"], "fractional_positions": [[0.000, 0.000, 0.000], [0.584, 0.584, 0.584], [0.761, 0.761, 0.761], [0.180, 0.180, 0.180]]}

=====

No. 4
{"formula": "LaInAs", "functional": "GGA-PBE", "state": "optimized geometry", "vol_a3_per_cell": 91.1, "m_tot_mub_per_atom": 0.000, "ef_mev_per_atom": -535.6, "cell": [[0.000, 3.572, 3.572], [3.572, 0.000, 3.572], [3.572, 3.572, 0.000]], "species": ["La", "In", "As"], "fractional_positions": [[0.000, 0.000, 0.000], [0.500, 0.500, 0.500], [0.250, 0.250, 0.250]]}

=====

No. 5
{"formula": "YLuPdRh", "functional": "GGA-PBE", "state": "optimized geometry", "vol_a3_per_cell": 81.1, "m_tot_mub_per_atom": 0.000, "ef_mev_per_atom": -918.8, "cell": [[0.000, 3.436, 3.436], [3.436, 0.000, 3.436], [3.436, 3.436, 0.000]], "species": ["Y", "Lu", "Pd", "Rh"], "fractional_positions": [[0.000, 0.000, 0.000], [0.500, 0.500, 0.500], [0.750, 0.750, 0.750], [0.250, 0.250, 0.250]]}

=====

No. 6
{"formula": "LiZrBr", "functional": "GGA-PBE", "state": "optimized geometry", "vol_a3_per_cell": 130.7, "m_tot_mub_per_atom": 0.000, "dft_energy_ev_per_cell": -28.37, "cell": [[3.507, 0.000, 0.000], [-1.753, 3.037, 0.000], [0.000, 0.000, 12.268]], "species": ["Li", "Li", "Zr", "Zr", "Br", "Br"], "fractional_positions": [[0.000, 0.000, 0.000], [0.333, 0.667, 0.271], [0.000, 0.000, 0.675], [0.667, 0.333, 0.485], [0.333, 0.667, 0.846], [0.667, 0.333, 0.124]]}

=====

No. 7
{"formula": "Al2AgSb", "functional": "GGA-PBE", "state": "optimized geometry", "vol_a3_per_cell": 82.3, "m_tot_mub_per_atom": 0.000, "dft_energy_ev_per_cell": -13.94, "cell": [[3.083, 0.000, 0.000], [0.000, 4.026, 0.000], [-1.373, 0.000, 6.632]], "species": ["Al", "Al", "Ag", "Sb"], "fractional_positions": [[0.000, 0.000, 0.000], [0.415, 0.500, 0.803], [0.827, 0.000, 0.587], [0.175, 0.500, 0.315]]}

=====

No. 8
{"formula": "Be2CuHg", "functional": "GGA-PBE", "state": "optimized geometry", "vol_a3_per_cell": 54.5, "m_tot_mub_per_atom": 0.000, "ef_mev_per_atom": 475.3, "cell": [[1.383, 0.799, 8.223], [-1.383, 0.799, 8.223], [0.000, -1.597, 8.223]], "species": ["Be", "Be", "Cu", "Hg"], "fractional_positions": [[0.000, 0.000, 0.000], [0.268, 0.268, 0.268], [0.531, 0.531, 0.531], [0.763, 0.763, 0.763]]}

=====

No. 9
{"formula": "AlZnGa", "functional": "GGA-PBE", "state": "optimized geometry", "vol_a3_per_cell": 110.2, "m_tot_mub_per_atom": 0.000, "ef_mev_per_atom": 77.2, "cell": [[4.199, -1.446, 0.000], [4.199, 1.446, 0.000], [-1.997, 0.000, 9.076]], "species": ["Al", "Al", "Zn", "Zn", "Ga", "Ga"], "fractional_positions": [[0.030, 0.030, 0.280], [0.970, 0.970, 0.720], [0.347, 0.347, 0.440], [0.653, 0.653, 0.560], [0.263, 0.263, 0.128], [0.737, 0.737, 0.872]]}

=====

No. 10
{"formula": "Na2Sc2SnSe6", "functional": "GGA-PBE", "state": "optimized geometry", "vol_a3_per_cell": 285.4, "m_tot_mub_per_atom": 0.000, "dft_energy_ev_per_cell": -53.65, "cell": [[3.377, -5.910, 0.000], [3.377, 5.910, 0.000], [-2.185, 0.000, 7.150]], "species": ["Na", "Na", "Sc", "Sc", "Sn", "Se", "Se", "Se", "Se", "Se", "Se"], "fractional_positions": [[0.164, 0.836, 0.000], [0.836, 0.164, 0.000], [0.330, 0.670, 0.500], [0.670, 0.330, 0.500], [0.000, 0.000, 0.500], [0.072, 0.406, 0.717], [0.261, 0.261, 0.286], [0.406, 0.072, 0.717], [0.594, 0.928, 0.283], [0.739, 0.739, 0.714], [0.928, 0.594, 0.283]]}

=====

No. 11
{"formula": "Y2TcSnAu", "functional": "GGA-PBE", "state": "optimized geometry", "vol_a3_per_cell": 138.5, "m_tot_mub_per_atom": 0.142, "ef_mev_per_atom": 237.1, "cell": [[5.195, 0.000, 0.000], [0.000, 5.195, 0.000], [0.000, 0.000, 5.131]], "species": ["Y", "Y", "Tc", "Sn", "Au"], "fractional_positions": [[0.000, 0.500, 0.000], [0.500, 0.000, 0.000], [0.000, 0.000, 0.000], [0.500, 0.500, 0.500], [0.000, 0.000, 0.500]]}

=====

No. 12
{"formula": "TcSeBr4", "functional": "GGA-PBE", "state": "optimized geometry", "vol_a3_per_cell": 162.5, "m_tot_mub_per_atom": 0.610, "dft_energy_ev_per_cell": -13.17, "cell": [[0.000, 4.331, 4.331], [4.331, 0.000, 4.331], [4.331, 4.331, 0.000]], "species": ["Tc", "Se", "Br", "Br", "Br", "Br"], "fractional_positions": [[0.000, 0.000, 0.000], [0.250, 0.250, 0.250], [0.124, 0.625, 0.625], [0.625, 0.124, 0.625], [0.625, 0.625, 0.124], [0.625, 0.625, 0.625]]}

=====

No. 13
{"formula": "ZrHRu2Rh", "functional": "GGA-PBE", "state": "optimized geometry", "vol_a3_per_cell": 64.4, "m_tot_mub_per_atom": 0.000, "dft_energy_ev_per_cell": -39.47, "cell": [[3.994, 0.000, 0.000], [0.000, 3.994, 0.000], [0.000, 0.000, 4.037]], "species": ["Zr", "H", "Ru", "Ru", "Rh"], "fractional_positions": [[0.000, 0.000, 0.000], [0.500, 0.500, 0.500], [0.000, 0.500, 0.500], [0.500, 0.000, 0.500], [0.500, 0.500, 0.000]]}

=====

No. 14
{"formula": "TiSbF2", "functional": "GGA-PBE", "state": "optimized geometry", "vol_a3_per_cell": 59.9, "m_tot_mub_per_atom": 0.000, "dft_energy_ev_per_cell": -19.77, "cell": [[0.000, 3.105, 3.105], [3.105, 0.000, 3.105], [3.105, 3.105, 0.000]], "species": ["Ti", "Sb", "F", "F"], "fractional_positions": [[0.000, 0.000, 0.000], [0.500, 0.500, 0.500], [0.250, 0.250, 0.250], [0.750, 0.750, 0.750]]}

=====

No. 15
{"formula": "SrBiAu", "functional": "GGA-PBE", "state": "optimized geometry", "vol_a3_per_cell": 177.3, "m_tot_mub_per_atom": 0.000, "ef_mev_per_atom": -297.9, "cell": [[4.788, 0.000, 0.000], [0.000, 4.788, 0.000], [0.000, 0.000, 7.734]], "species": ["Sr", "Sr", "Bi", "Bi", "Au", "Au"], "fractional_positions": [[0.250, 0.750, 0.000], [0.750, 0.250, 0.000], [0.250, 0.250, 0.339], [0.750, 0.750, 0.661], [0.250, 0.250, 0.719], [0.750, 0.750, 0.281]]}

=====

No. 16
{"formula": "Sr4Ni", "functional": "GGA-PBE", "state": "optimized geometry", "vol_a3_per_cell": 216.3, "m_tot_mub_per_atom": 0.000, "ef_mev_per_atom": -7.1, "cell": [[6.003, 0.000, 0.000], [0.000, 6.003, 0.000], [0.000, 0.000, 6.003]], "species": ["Sr", "Sr", "Sr", "Sr", "Ni"], "fractional_positions": [[0.000, 0.000, 0.000], [0.000, 0.500, 0.500], [0.500, 0.000, 0.500], [0.500, 0.500, 0.000], [0.500, 0.500, 0.500]]}

=====

No. 17
{"formula": "Ho5TlAu4", "functional": "GGA-PBE", "state": "optimized geometry", "vol_a3_per_cell": 238.3, "m_tot_mub_per_atom": 0.000, "ef_mev_per_atom": -763.3, "cell": [[3.580, 0.000, 0.000], [0.000, 3.580, 0.000], [0.000, 0.000, 18.598]], "species": ["Ho", "Ho", "Ho", "Ho", "Ho", "Tl", "Au", "Au", "Au", "Au"], "fractional_positions": [[0.000, 0.000, 0.000], [0.000, 0.000, 0.194], [0.000, 0.000, 0.386], [0.000, 0.000, 0.614], [0.000, 0.000, 0.806], [0.500, 0.500, 0.500], [0.500, 0.500, 0.097], [0.500, 0.500, 0.292], [0.500, 0.500, 0.708], [0.500, 0.500, 0.903]]}

=====

No. 18
{"formula": "Sc3InO", "functional": "GGA-PBE", "state": "optimized geometry", "vol_a3_per_cell": 423.6, "m_tot_mub_per_atom": 0.264, "dft_energy_ev_per_cell": -128.48, "cell": [[0.000, 5.961, 5.961], [5.961, 0.000, 5.961], [5.961, 5.961, 0.000]], "species": ["Sc", "Sc", "Sc", "Sc", "Sc", "Sc", "Sc", "Sc", "Sc", "Sc", "Sc", "Sc", "In", "In", "In", "In", "O", "O", "O", "O"], "fractional_positions": [[0.061, 0.061, 0.689], [0.061, 0.689, 0.061], [0.061, 0.689, 0.689], [0.311, 0.311, 0.939], [0.311, 0.939, 0.311], [0.311, 0.939, 0.939], [0.689, 0.061, 0.061], [0.689, 0.061, 0.689], [0.689, 0.689, 0.061], [0.939, 0.311, 0.311], [0.939, 0.311, 0.939], [0.939, 0.939, 0.311], [0.000, 0.500, 0.500], [0.500, 0.000, 0.500], [0.500, 0.500, 0.000], [0.500, 0.500, 0.500], [0.000, 0.000, 0.000], [0.000, 0.000, 0.500], [0.000, 0.500, 0.000], [0.500, 0.000, 0.000]]}

=====

No. 19
{"formula": "ZrOsSe2", "functional": "GGA-PBE", "state": "optimized geometry", "vol_a3_per_cell": 84.6, "m_tot_mub_per_atom": 0.000, "dft_energy_ev_per_cell": -28.10, "cell": [[3.186, 0.000, 0.000], [0.000, 3.186, 0.000], [0.000, 0.000, 8.337]], "species": ["Zr", "Os", "Se", "Se"], "fractional_positions": [[0.000, 0.000, 0.000], [0.500, 0.500, 0.259], [0.000, 0.000, 0.404], [0.500, 0.500, 0.816]]}

=====

No. 20
{"formula": "Li2BeRu", "functional": "GGA-PBE", "state": "optimized geometry", "vol_a3_per_cell": 54.7, "m_tot_mub_per_atom": 0.000, "ef_mev_per_atom": 144.5, "cell": [[1.345, 0.776, 8.737], [-1.345, 0.776, 8.737], [0.000, -1.553, 8.737]], "species": ["Li", "Li", "Be", "Ru"], "fractional_positions": [[0.000, 0.000, 0.000], [0.235, 0.235, 0.235], [0.485, 0.485, 0.485], [0.751, 0.751, 0.751]]}